This record from Alexandria describes an optimized crystal structure of TlCd2Rh2. The functional is PBE.

```
10
Lattice="7.816 0.000 0.000 0.000 7.816 0.000 0.000 0.000 3.123" Properties=species:S:1:pos:R:3 pbc="T T T"
Tl 0.000 0.000 0.000
Tl 3.908 3.908 0.000
Cd 1.024 2.885 0.000
Cd 2.885 6.793 0.000
Cd 4.932 1.024 0.000
Cd 6.793 4.932 0.000
Rh 1.292 5.200 1.561
Rh 2.616 1.292 1.561
Rh 5.200 6.525 1.561
Rh 6.525 2.616 1.561
```

E above lowest polymorph = 0.2066 eV/atom
E = -0.268 Ry/atom
space-group type = P4/mbm (127)
formation enthalpy at 0 K = 140 meV per atom